[1]
## In3Ag3Pb (PBE-GGA)

Data for an optimized crystal structure of In3Ag3Pb.

```
In3Ag3Pb
1.0
7.6651 0.0000 0.0000
0.0000 7.6651 0.0000
0.0000 0.0000 7.6651
In Ag Pb
6 6 2
Cartesian
0.0000 1.9163 3.8325 In
0.0000 5.7488 3.8325 In
1.9163 3.8325 0.0000 In
3.8325 0.0000 1.9163 In
3.8325 0.0000 5.7488 In
5.7488 3.8325 0.0000 In
0.0000 3.8325 1.9163 Ag
0.0000 3.8325 5.7488 Ag
1.9163 0.0000 3.8325 Ag
3.8325 1.9163 0.0000 Ag
3.8325 5.7488 0.0000 Ag
5.7488 0.0000 3.8325 Ag
0.0000 0.0000 0.0000 Pb
3.8325 3.8325 3.8325 Pb
```

Results
energy relative to the elements	0.437	eV per atom

[2]
## CaMnV2 (PBE-GGA)

Data for an optimized crystal structure of CaMnV2.

```
CaMnV2
1.0
6.5378 0.0000 0.0000
0.0000 6.5378 0.0000
0.0000 0.0000 6.5378
Ca Mn V
4 4 8
Cartesian
0.0000 0.0000 0.0000 Ca
0.0000 3.2689 3.2689 Ca
3.2689 0.0000 3.2689 Ca
3.2689 3.2689 0.0000 Ca
0.0000 0.0000 3.2689 Mn
0.0000 3.2689 0.0000 Mn
3.2689 0.0000 0.0000 Mn
3.2689 3.2689 3.2689 Mn
1.6344 1.6344 1.6344 V
1.6344 1.6344 4.9033 V
1.6344 4.9033 1.6344 V
1.6344 4.9033 4.9033 V
4.9033 1.6344 1.6344 V
4.9033 1.6344 4.9033 V
4.9033 4.9033 1.6344 V
4.9033 4.9033 4.9033 V
```

Results
energy relative to the elements	0.696	eV per atom
excess energy over the best structure of this formula in the dataset	0.000	eV/f.u.

[3]
## K2MgAsBr6 (PBE-GGA)

Data for an optimized crystal structure of K2MgAsBr6.

```
K2MgAsBr6
1.0
7.3396 0.0000 0.0000
-0.2105 7.4059 0.0000
-3.4247 -3.7799 6.2102
K Mg As Br
2 1 1 6
Cartesian
0.1211 -0.0371 2.8091 K
3.5833 3.6631 3.4011 K
3.6698 0.0000 0.0000 Mg
-0.1052 3.7030 0.0000 As
-2.1128 -2.3095 6.1801 Br
-0.3100 3.1745 3.7008 Br
2.0029 5.1282 0.8258 Br
1.7015 -1.5022 5.3844 Br
4.0144 0.4515 2.5093 Br
5.8172 5.9355 0.0301 Br
```

Results
ΔE_f (raw)	-11.4	eV/f.u.